Run A
NaTlSb3: optimized geometry, PBE.

a = 5.508 Å, b = 5.508 Å, c = 5.508 Å
α = 90.00°, β = 90.00°, γ = 90.00°
Element x y z (fractional)
Na: 0.000 0.000 0.000
Tl: 0.500 0.500 0.500
Sb: 0.000 0.000 0.500
Sb: 0.000 0.500 0.000
Sb: 0.500 0.000 0.000

Properties
Total magnetic moment: 0.00 μB/cell



Run B
NaTlSb3: optimized geometry, PBE.

a = 8.431 Å, b = 8.431 Å, c = 7.019 Å
α = 99.24°, β = 99.24°, γ = 38.07°
Element x y z (fractional)
Na: 0.110 0.110 0.192
Na: 0.890 0.890 0.808
Tl: 0.325 0.325 0.478
Tl: 0.675 0.675 0.522
Sb: 0.088 0.088 0.694
Sb: 0.261 0.261 0.915
Sb: 0.483 0.483 0.201
Sb: 0.517 0.517 0.799
Sb: 0.739 0.739 0.085
Sb: 0.912 0.912 0.306

Properties
Total magnetic moment: 0.00 μB/cell



run B wins, 662 meV per atom ahead of the next structure.